[1]
Density functional theory data (PBE) for crystalline Sb2PSe at its relaxed geometry.

Values from the calculation:
The value obtained for the density of states at the Fermi level is 0.418 states/eV per atom. As for the total magnetization: 0.00 μB/atom. The calculation puts the total energy at -4.220 eV per atom.

a = 3.859 Å, b = 3.859 Å, c = 8.092 Å
α = 76.20°, β = 76.20°, γ = 60.00°
Fractional positions:
Sb 0.080 0.080 0.761
Sb 0.266 0.266 0.203
P 0.666 0.666 0.001
Se 0.488 0.488 0.535


[2]
Density functional theory data (PBE) for crystalline Sb2PSe at its relaxed geometry.

Values from the calculation:
The value obtained for the density of states at the Fermi level is 0.486 states/eV per atom. As for the total magnetization: 0.00 μB/atom. The calculation puts the total energy at -4.113 eV per atom.

a = 5.081 Å, b = 5.081 Å, c = 5.081 Å
α = 111.72°, β = 111.72°, γ = 105.05°
Fractional positions:
Sb 0.500 0.000 0.500
Sb 0.000 0.500 0.500
P 0.000 0.000 0.000
Se 0.500 0.500 0.000


[3]
Density functional theory data (PBE) for crystalline SbPSe4 at its relaxed geometry.

Values from the calculation:
The value obtained for the density of states at the Fermi level is 0.388 states/eV per atom. As for the total magnetization: 0.00 μB/atom. The calculation puts the total energy at -3.870 eV per atom.

a = 6.411 Å, b = 6.506 Å, c = 9.268 Å
α = 102.61°, β = 102.19°, γ = 112.57°
Fractional positions:
Sb 0.934 0.684 0.867
Sb 0.066 0.316 0.133
P 0.400 0.150 0.801
P 0.600 0.850 0.199
Se 0.452 0.693 0.370
Se 0.676 0.940 0.898
Se 0.083 0.823 0.630
Se 0.778 0.542 0.102
Se 0.548 0.307 0.630
Se 0.917 0.177 0.370
Se 0.324 0.060 0.102
Se 0.222 0.458 0.898


[4]
Density functional theory data (PBE) for crystalline Sb2PSe at its relaxed geometry.

Values from the calculation:
The value obtained for the density of states at the Fermi level is 0.454 states/eV per atom. As for the total magnetization: 0.00 μB/atom. The calculation puts the total energy at -4.087 eV per atom.

a = 7.454 Å, b = 7.454 Å, c = 6.460 Å
α = 54.77°, β = 54.77°, γ = 90.00°
Fractional positions:
Sb 0.602 0.125 0.250
Sb 0.148 0.625 0.250
Sb 0.375 0.398 0.750
Sb 0.875 0.852 0.750
Se 0.000 0.000 0.000
Se 0.750 0.250 0.500
P 0.500 0.500 0.000
P 0.250 0.750 0.500


[5]
Density functional theory data (PBE) for crystalline SbPSe2 at its relaxed geometry.

Values from the calculation:
The value obtained for the density of states at the Fermi level is 0.285 states/eV per atom. As for the total magnetization: 0.00 μB/atom. The calculation puts the total energy at -3.989 eV per atom.

a = 9.011 Å, b = 9.011 Å, c = 9.011 Å
α = 22.98°, β = 22.98°, γ = 22.98°
Fractional positions:
Sb 0.000 0.000 0.000
Se 0.892 0.892 0.892
Se 0.108 0.108 0.108
P 0.500 0.500 0.500


[6]
Density functional theory data (PBE) for crystalline Sb2PSe4 at its relaxed geometry.

Values from the calculation:
The value obtained for the density of states at the Fermi level is 0.186 states/eV per atom. As for the total magnetization: 0.00 μB/atom. The calculation puts the total energy at -3.979 eV per atom.

a = 9.369 Å, b = 7.519 Å, c = 7.254 Å
α = 59.55°, β = 73.01°, γ = 64.49°
Fractional positions:
Sb 0.525 0.409 0.342
Sb 0.475 0.591 0.658
Sb 0.328 0.035 0.262
Sb 0.672 0.965 0.738
Se 0.328 0.789 0.997
Se 0.672 0.211 0.003
Se 0.067 0.945 0.356
Se 0.933 0.055 0.644
Se 0.228 0.307 0.440
Se 0.772 0.693 0.560
Se 0.215 0.460 0.874
Se 0.785 0.540 0.126
P 0.139 0.630 0.100
P 0.861 0.370 0.900